Record 1
An optimized crystal structure of CuNi14Rh. Source: Alexandria, functional PBE.

a = 5.0308 Å, b = 5.0308 Å, c = 8.2086 Å
α = 90.00°, β = 90.00°, γ = 120.08°
Closest atoms and distances in Å follow each position.
Element x y z (fractional)
Ni (0.5428, 0.9604, 0.5000)  8 Ni 2.50-2.54, 2 Cu 2.51-2.52, 2 Rh 2.52
Ni (0.8739, 0.1261, 0.2471)  11 Ni 2.49-2.53, 1 Rh 2.54
Ni (0.8751, 0.6233, 0.7548)  10 Ni 2.48-2.54, 1 Cu 2.55, 1 Rh 2.55
Ni (0.3767, 0.1249, 0.7548)  10 Ni 2.48-2.54, 1 Cu 2.55, 1 Rh 2.55
Ni (0.8739, 0.1261, 0.7529)  11 Ni 2.49-2.53, 1 Rh 2.54
Ni (0.0396, 0.4572, 0.5000)  8 Ni 2.50-2.54, 2 Cu 2.51-2.52, 2 Rh 2.52
Ni (0.2091, 0.7909, 0.0000)  12 Ni 2.48-2.52
Ni (0.8751, 0.6233, 0.2452)  10 Ni 2.48-2.54, 1 Cu 2.55, 1 Rh 2.55
Ni (0.7087, 0.2913, 0.0000)  12 Ni 2.48-2.52
Ni (0.3767, 0.1249, 0.2452)  10 Ni 2.48-2.54, 1 Cu 2.55, 1 Rh 2.55
Ni (0.3742, 0.6258, 0.2482)  11 Ni 2.49-2.53, 1 Cu 2.53
Ni (0.7081, 0.7916, 0.0000)  12 Ni 2.49-2.52
Ni (0.2084, 0.2919, 0.0000)  12 Ni 2.49-2.52
Ni (0.3742, 0.6258, 0.7518)  11 Ni 2.49-2.53, 1 Cu 2.53
Cu (0.5418, 0.4582, 0.5000)  10 Ni 2.51-2.55, 2 Rh 2.51
Rh (0.0417, 0.9583, 0.5000)  2 Cu 2.51, 10 Ni 2.52-2.55


Record 2
An optimized crystal structure of Pr6SmY2. Source: Alexandria, functional PBE.

a = 7.0059 Å, b = 10.7197 Å, c = 10.7197 Å
α = 108.79°, β = 71.22°, γ = 71.22°
Closest atoms and distances in Å follow each position.
Element x y z (fractional)
Pr (0.7430, 0.3177, 0.9640)  6 Pr 3.44-3.84, 2 Y 3.51-3.52, 1 Sm 3.73
Pr (0.8513, 0.3110, 0.3421)  1 Sm 3.47, 3 Y 3.51-3.65, 6 Pr 3.54-3.79
Pr (0.3513, 0.3421, 0.3110)  1 Sm 3.47, 3 Y 3.51-3.65, 6 Pr 3.54-3.79
Pr (0.1829, 0.3563, 0.0174)  7 Pr 3.44-3.84, 1 Sm 3.45, 2 Y 3.55-3.70
Pr (0.6829, 0.0174, 0.3563)  7 Pr 3.44-3.84, 1 Sm 3.45, 2 Y 3.55-3.70
Pr (0.7570, 0.0360, 0.6823)  6 Pr 3.44-3.84, 2 Y 3.51-3.52, 1 Sm 3.73
Pr (0.2430, 0.9640, 0.3177)  6 Pr 3.44-3.84, 2 Y 3.51-3.52, 1 Sm 3.73
Pr (0.8171, 0.6437, 0.9826)  7 Pr 3.44-3.84, 1 Sm 3.45, 2 Y 3.55-3.70
Pr (0.6487, 0.6579, 0.6890)  1 Sm 3.47, 3 Y 3.51-3.65, 6 Pr 3.54-3.79
Pr (0.2570, 0.6823, 0.0360)  6 Pr 3.44-3.84, 2 Y 3.51-3.52, 1 Sm 3.73
Pr (0.1487, 0.6890, 0.6579)  1 Sm 3.47, 3 Y 3.51-3.65, 6 Pr 3.54-3.79
Pr (0.3171, 0.9826, 0.6437)  7 Pr 3.44-3.84, 1 Sm 3.45, 2 Y 3.55-3.70
Y (0.0365, 0.3109, 0.6242)  2 Y 3.50-3.63, 8 Pr 3.51-3.91
Y (0.4635, 0.3758, 0.6891)  2 Y 3.50-3.63, 8 Pr 3.51-3.91
Y (0.9635, 0.6891, 0.3758)  2 Y 3.50-3.63, 8 Pr 3.51-3.91
Y (0.5365, 0.6242, 0.3109)  2 Y 3.50-3.63, 8 Pr 3.51-3.91
Sm (0.2500, 0.0127, 0.9873)  6 Pr 3.45-3.73, 2 Sm 3.53
Sm (0.7500, 0.9873, 0.0127)  6 Pr 3.45-3.73, 2 Sm 3.53

Calculated values
Offset from the most stable computed form in kJ/mol of atoms: 0.0


no.,formation energy from the elements (eV per formula unit),calculated total energy (eV/cell)
1,0.48,-91.91
2,0.97,-90.71